Tb3Dy8: optimized geometry, PBE.

## Properties
magnetization = 0.00 μB/cell
energy of formation = 421 kJ/mol of formula units
distance to the lowest polymorph of the same formula = 0.0000 eV/atom

Cell: 7.674 7.674 7.674 Å, 107.42 107.42 107.42°
Atoms (fractional coordinates):
Tb1 0.000 0.500 0.500
Dy1 0.821 0.970 0.310
Dy2 0.179 0.030 0.690
Dy3 0.690 0.179 0.030
Tb2 0.500 0.000 0.500
Dy4 0.753 0.753 0.753
Dy5 0.310 0.821 0.970
Dy6 0.030 0.690 0.179
Dy7 0.247 0.247 0.247
Dy8 0.970 0.310 0.821
Tb3 0.500 0.500 0.000


Tb12Tm2Th: optimized geometry, PBE.

## Properties
magnetization = 0.00 μB/cell
energy of formation = 172 kJ/mol of formula units

Cell: 6.605 6.605 24.899 Å, 83.37 96.63 65.09°
Atoms (fractional coordinates):
Tb1 0.946 0.054 0.928
Tb2 0.898 0.602 0.864
Tb3 0.819 0.681 0.425
Tb4 0.681 0.819 0.575
Tb5 0.396 0.104 0.861
Tb6 0.096 0.898 0.798
Th1 0.001 0.499 0.001
Tb7 0.898 0.096 0.202
Tm1 0.453 0.047 0.272
Tb8 0.104 0.396 0.139
Tb9 0.554 0.446 0.072
Tb10 0.602 0.898 0.136
Tb11 0.671 0.334 0.556
Th2 0.499 0.001 0.999
Tb12 0.829 0.166 0.444
Tm2 0.547 0.953 0.729
Tm3 0.953 0.547 0.271
Tb13 0.334 0.671 0.444
Tb14 0.495 0.503 0.329
Tb15 0.054 0.946 0.072
Tm4 0.047 0.453 0.728
Tb16 0.166 0.829 0.556
Tb17 0.446 0.554 0.928
Tb18 0.313 0.187 0.423
Tb19 0.503 0.495 0.671
Tb20 0.602 0.404 0.798
Tb21 0.005 0.997 0.671
Tb22 0.404 0.602 0.202
Tb23 0.997 0.005 0.329
Tb24 0.187 0.313 0.577


SrTi2IO8: optimized geometry, PBE.

## Properties
magnetization = 0.00 μB/cell
ΔE_f (raw) = -2.02 eV per atom

Cell: 5.006 5.007 7.004 Å, 81.05 81.06 78.11°
Atoms (fractional coordinates):
O1 0.788 0.229 0.788
Ti1 0.442 0.442 0.723
O2 0.256 0.255 0.947
O3 0.772 0.213 0.212
O4 0.337 0.336 0.516
O5 0.663 0.664 0.484
O6 0.212 0.771 0.212
Ti2 0.558 0.558 0.277
I1 0.000 0.000 0.000
Sr1 0.000 0.000 0.500
O7 0.228 0.787 0.788
O8 0.744 0.745 0.053


NaHgGePb: optimized geometry, PBE.

## Properties
magnetization = 0.00 μB/cell
energy of formation = 13 kJ/mol of formula units

Cell: 5.215 5.215 5.215 Å, 60.00 60.00 60.00°
Atoms (fractional coordinates):
Hg1 0.500 0.500 0.500
Ge1 0.250 0.250 0.250
Na1 0.750 0.750 0.750
Pb1 0.000 0.000 0.000


CrAs2Se: optimized geometry, PBE.

## Properties
magnetization = 3.13 μB/cell
ΔE_f (raw) = 0.19 eV per atom

Cell: 5.963 5.963 4.174 Å, 74.01 74.01 32.20°
Each line ends with the local moment (μB).
Atoms (fractional coordinates):
As1 0.052 0.052 0.969  -0.06
As2 0.448 0.448 0.531  -0.06
Se1 0.250 0.250 0.250  -0.09
Cr1 0.750 0.750 0.750  3.14


Li6CuRh2: optimized geometry, PBE.

## Properties
magnetization = 0.20 μB/cell
energy of formation = -53 kJ/mol of formula units

Cell: 2.768 7.640 7.640 Å, 125.56 86.33 86.33°
Each line ends with the local moment (μB).
Atoms (fractional coordinates):
Li1 0.844 0.150 0.501  0.00
Li2 0.622 0.702 0.702  0.00
Li3 0.156 0.499 0.850  0.00
Rh1 0.500 0.842 0.158  0.11
Cu1 0.000 0.000 0.000  0.00
Li4 0.378 0.298 0.298  0.00
Rh2 0.500 0.158 0.842  0.11
Li5 0.156 0.850 0.499  0.00
Li6 0.844 0.501 0.150  0.00


LaTl2Cd2Se4: optimized geometry, PBE.

## Properties
magnetization = 0.00 μB/cell
ΔE_f (raw) = -0.80 eV per atom

Cell: 4.378 8.056 8.663 Å, 112.88 104.64 90.00°
Atoms (fractional coordinates):
Cd1 0.312 0.988 0.625
Se1 0.197 0.230 0.394
Se2 0.478 0.237 0.956
Cd2 0.688 0.012 0.375
Tl1 0.874 0.443 0.748
Se3 0.522 0.763 0.044
La1 0.000 0.000 0.000
Se4 0.803 0.770 0.606
Tl2 0.126 0.557 0.252


ZnIrAu2: optimized geometry, PBE.

## Properties
magnetization = 0.00 μB/cell
energy of formation = 34 kJ/mol of formula units

Cell: 6.381 4.749 3.012 Å, 89.91 61.99 121.53°
Atoms (fractional coordinates):
Au1 0.000 0.000 0.000
Zn1 0.500 0.500 0.000
Ir1 0.000 0.500 0.500
Au2 0.500 0.000 0.500


Question: Which value of magnetization does entry 4 give?
Answer: 0.00 μB/cell